1.
First-principles (PBE) data for crystalline CsAsH2S4 at its relaxed geometry, as listed in Alexandria.

Properties
* total magnetization: 0.00 μB/cell
* E_tot: -31.27 eV/cell
* symmetry: I222, No. 23
* calculated density: 2.80 g/cm³

Cell: 5.050 6.795 6.795 Å, 79.32 68.19 68.19°
Positions (direct):
As  0.500  0.500  0.500
S  0.617  0.510  0.779
S  0.383  0.221  0.490
S  0.906  0.490  0.221
S  0.094  0.779  0.510
H  0.859  0.641  0.641
H  0.141  0.359  0.359
Cs  0.000  0.000  0.000



2.
First-principles (PBE) data for crystalline CsAsHSe at its relaxed geometry, as listed in Alexandria.

Properties
* total magnetization: 0.00 μB/cell
* E_tot: -12.92 eV/cell
* symmetry: P1, No. 1
* calculated density: 4.26 g/cm³
* ΔE to the lowest computed polymorph: 6.18 kcal/mol of atoms

Cell: 3.732 5.249 6.283 Å, 66.66 88.91 83.05°
Positions (direct):
As  0.379  0.545  0.164
H  0.974  0.154  0.053
Cs  0.857  0.796  0.587
Se  0.358  0.070  0.005



3.
First-principles (PBE) data for crystalline CsAsHSe at its relaxed geometry, as listed in Alexandria.

Properties
* total magnetization: 0.00 μB/cell
* E_tot: -13.99 eV/cell
* symmetry: P1, No. 1
* calculated density: 4.04 g/cm³
* ΔE to the lowest computed polymorph: 0.00 kcal/mol of atoms

Cell: 4.544 4.829 5.865 Å, 93.26 112.92 89.94°
Positions (direct):
Cs  0.399  0.448  0.810
As  0.107  0.935  0.225
H  0.103  0.259  0.220
Se  0.717  0.924  0.445



4.
First-principles (PBE) data for crystalline CsAsHSe at its relaxed geometry, as listed in Alexandria.

Properties
* total magnetization: 0.00 μB/cell
* E_tot: -12.90 eV/cell
* symmetry: Pm, No. 6
* calculated density: 3.82 g/cm³
* ΔE to the lowest computed polymorph: 6.28 kcal/mol of atoms

Cell: 5.669 3.987 6.120 Å, 90.00 115.16 90.00°
Positions (direct):
Cs  0.598  0.000  0.282
H  0.579  0.500  0.668
Se  0.846  0.500  0.884
As  0.164  0.500  0.732



5.
First-principles (PBE) data for crystalline CsAs2HSe at its relaxed geometry, as listed in Alexandria.

Properties
* total magnetization: 0.00 μB/cell
* E_tot: -14.44 eV/cell
* symmetry: P4/mmm, No. 123
* calculated density: 5.40 g/cm³
* ΔE to the lowest computed polymorph: 0.00 kcal/mol of atoms

Cell: 4.613 4.613 5.242 Å, 90.00 90.00 90.00°
Positions (direct):
Se  0.000  0.000  0.500
As  0.500  0.000  0.000
As  0.000  0.500  0.000
Cs  0.500  0.500  0.500
H  0.000  0.000  0.000



6.
First-principles (PBE) data for crystalline CsAsHSe at its relaxed geometry, as listed in Alexandria.

Properties
* total magnetization: 0.00 μB/cell
* E_tot: -27.87 eV/cell
* symmetry: Cm, No. 8
* calculated density: 3.36 g/cm³
* ΔE to the lowest computed polymorph: 0.33 kcal/mol of atoms

Cell: 6.401 4.581 11.199 Å, 90.00 119.91 90.00°
Positions (direct):
Se  0.386  0.000  0.865
Se  0.386  0.500  0.365
As  0.204  0.000  0.259
As  0.204  0.500  0.759
Cs  0.676  0.500  0.163
Cs  0.676  0.000  0.663
H  0.304  0.500  0.658
H  0.304  0.000  0.158



7.
First-principles (PBE) data for crystalline CsAsHSe at its relaxed geometry, as listed in Alexandria.

Properties
* total magnetization: 0.00 μB/cell
* E_tot: -13.76 eV/cell
* symmetry: Pm, No. 6
* calculated density: 3.64 g/cm³
* ΔE to the lowest computed polymorph: 1.31 kcal/mol of atoms

Cell: 5.799 4.133 6.003 Å, 90.00 114.30 90.00°
Positions (direct):
As  0.046  0.000  0.205
Cs  0.666  0.500  0.592
H  0.061  0.000  0.950
Se  0.608  0.000  0.068



8.
First-principles (PBE) data for crystalline CsAs2HSe at its relaxed geometry, as listed in Alexandria.

Properties
* total magnetization: 3.51 μB/cell
* E_tot: -7.84 eV/cell
* symmetry: P4/mmm, No. 123
* calculated density: 2.81 g/cm³
* ΔE to the lowest computed polymorph: 30.45 kcal/mol of atoms

Cell: 6.016 6.016 5.917 Å, 90.00 90.00 90.00°
Positions (direct):
H  0.500  0.500  0.500
As  0.500  0.000  0.000
As  0.000  0.500  0.000
Cs  0.000  0.000  0.000
Se  0.000  0.000  0.500